No. 1
The following is a DFT calculation (PBE) of an optimized crystal structure of Ga2HgF8.

Cell: 5.767 6.152 6.152 Å, 54.38 105.10 105.10°
Fractional coordinates of all 11 atoms:
Hg 0.000 0.000 0.000
Ga 0.290 0.781 0.781
Ga 0.710 0.219 0.219
F 0.816 0.900 0.362
F 0.184 0.638 0.100
F 0.623 0.833 0.833
F 0.377 0.167 0.167
F 0.816 0.362 0.900
F 0.184 0.100 0.638
F 0.219 0.614 0.614
F 0.781 0.386 0.386

Computed properties:
**Distance to the lowest polymorph of the same formula**: 42 meV per atom
**Raw total energy**: -4.0823 eV per atom
**D(E_F)**: 0.0 states/eV/f.u.
**Uncorrected formation energy**: -207 kJ per mole of atoms



No. 2
The following is a DFT calculation (PBE) of an optimized crystal structure of GaHgF4.

Cell: 4.774 7.878 6.556 Å, 125.73 109.64 92.67°
Fractional coordinates of all 12 atoms:
Ga 0.850 0.100 0.200
Ga 0.150 0.900 0.800
Hg 0.336 0.586 0.171
Hg 0.664 0.414 0.829
F 0.221 0.878 0.524
F 0.103 0.909 0.100
F 0.197 0.355 0.476
F 0.502 0.809 0.900
F 0.779 0.122 0.476
F 0.803 0.645 0.524
F 0.897 0.091 0.900
F 0.498 0.191 0.100

Computed properties:
**Raw total energy**: -3.8599 eV per atom
**Uncorrected formation energy**: -199 kJ per mole of atoms



No. 3
The following is a DFT calculation (PBE) of an optimized crystal structure of GaHg2F6.

Cell: 5.455 5.455 9.878 Å, 90.00 90.00 90.00°
Fractional coordinates of all 18 atoms:
Ga 0.000 0.000 0.000
Ga 0.500 0.500 0.500
Hg 0.000 0.000 0.348
Hg 0.500 0.500 0.848
Hg 0.500 0.500 0.152
Hg 0.000 0.000 0.652
F 0.326 0.326 0.356
F 0.674 0.674 0.356
F 0.174 0.826 0.856
F 0.826 0.174 0.856
F 0.174 0.826 0.144
F 0.826 0.174 0.144
F 0.326 0.326 0.644
F 0.674 0.674 0.644
F 0.247 0.247 0.000
F 0.753 0.753 0.000
F 0.253 0.747 0.500
F 0.747 0.253 0.500

Computed properties:
**Distance to the lowest polymorph of the same formula**: 0 meV per atom
**Raw total energy**: -3.4848 eV per atom
**D(E_F)**: 1.8 states/eV/f.u.
**Uncorrected formation energy**: -177 kJ per mole of atoms



No. 4
The following is a DFT calculation (PBE) of an optimized crystal structure of Ga2HgF8.

Cell: 5.529 5.217 5.217 Å, 75.18 96.78 96.78°
Fractional coordinates of all 11 atoms:
Ga 0.545 0.315 0.315
Ga 0.455 0.685 0.685
Hg 0.000 0.000 0.000
F 0.642 0.051 0.669
F 0.358 0.331 0.949
F 0.836 0.224 0.224
F 0.164 0.776 0.776
F 0.642 0.669 0.051
F 0.358 0.949 0.331
F 0.285 0.438 0.438
F 0.715 0.562 0.562

Computed properties:
**Distance to the lowest polymorph of the same formula**: 0 meV per atom
**Raw total energy**: -4.1244 eV per atom
**D(E_F)**: 0.0 states/eV/f.u.
**Uncorrected formation energy**: -211 kJ per mole of atoms



No. 5
The following is a DFT calculation (PBE) of an optimized crystal structure of In3GaHg2F6.

Cell: 5.527 5.988 7.583 Å, 113.25 79.78 90.00°
Fractional coordinates of all 12 atoms:
In 0.000 0.500 0.000
In 0.500 0.500 0.500
In 0.500 0.000 0.500
Ga 0.500 0.000 0.000
Hg 0.026 0.717 0.435
Hg 0.974 0.283 0.565
F 0.629 0.310 0.153
F 0.371 0.690 0.847
F 0.796 0.909 0.817
F 0.204 0.091 0.183
F 0.371 0.157 0.847
F 0.629 0.843 0.153

Computed properties:
**Raw total energy**: -3.5849 eV per atom
**D(E_F)**: 1.0 states/eV/f.u.
**Uncorrected formation energy**: -160 kJ per mole of atoms



No. 6
The following is a DFT calculation (PBE) of an optimized crystal structure of KGaHgF2.

Cell: 4.823 6.141 4.823 Å, 90.00 90.00 90.00°
Fractional coordinates of all 5 atoms:
K 0.000 0.500 0.000
Hg 0.000 0.000 0.000
Ga 0.500 0.500 0.500
F 0.000 0.000 0.500
F 0.500 0.000 0.000

Computed properties:
**Raw total energy**: -2.2778 eV per atom
**D(E_F)**: 0.9 states/eV/f.u.
**Uncorrected formation energy**: -62 kJ per mole of atoms



No. 7
The following is a DFT calculation (PBE) of an optimized crystal structure of Li2GaHgF8.

Cell: 5.840 5.840 5.840 Å, 111.95 111.95 104.61°
Fractional coordinates of all 12 atoms:
Li 0.750 0.250 0.500
Li 0.500 0.500 0.000
Ga 0.250 0.750 0.500
Hg 0.000 0.000 0.000
F 0.362 0.042 0.320
F 0.315 0.535 0.220
F 0.315 0.095 0.780
F 0.722 0.042 0.680
F 0.905 0.685 0.220
F 0.958 0.278 0.320
F 0.958 0.638 0.680
F 0.465 0.685 0.780

Computed properties:
**Raw total energy**: -4.0152 eV per atom
**D(E_F)**: 2.6 states/eV/f.u.
**Uncorrected formation energy**: -209 kJ per mole of atoms



No. 8
The following is a DFT calculation (PBE) of an optimized crystal structure of LiGaHgF6.

Cell: 5.227 5.227 9.874 Å, 90.00 90.00 120.00°
Fractional coordinates of all 18 atoms:
Li 0.333 0.667 0.250
Li 0.667 0.333 0.750
Ga 0.667 0.333 0.250
Ga 0.333 0.667 0.750
Hg 0.000 0.000 0.000
Hg 0.000 0.000 0.500
F 0.646 0.629 0.142
F 0.983 0.354 0.142
F 0.354 0.983 0.642
F 0.017 0.646 0.858
F 0.371 0.354 0.358
F 0.983 0.629 0.358
F 0.629 0.983 0.858
F 0.646 0.017 0.358
F 0.017 0.371 0.642
F 0.371 0.017 0.142
F 0.629 0.646 0.642
F 0.354 0.371 0.858

Computed properties:
**Raw total energy**: -4.1564 eV per atom
**D(E_F)**: 0.0 states/eV/f.u.
**Uncorrected formation energy**: -224 kJ per mole of atoms